Material: Ac6DySe8
Method: DFT, PBE
State: relaxed

Results
Energy relative to the elements, uncorrected: -183.0 kJ/mol of atoms
Energy: -5.705 eV per atom

Lattice parameters (Å, degrees): 8.865 8.864 8.865 60.01 59.99 60.00
Sites, in units of the cell vectors:
Ac: 0.000 0.500 0.500
Ac: 0.500 0.000 0.000
Ac: 0.500 0.500 0.000
Ac: 0.000 0.000 0.500
Ac: 0.000 0.500 0.000
Ac: 0.500 0.000 0.500
Dy: 0.000 0.000 0.000
Se: 0.750 0.750 0.750
Se: 0.250 0.250 0.250
Se: 0.765 0.235 0.235
Se: 0.235 0.765 0.765
Se: 0.235 0.235 0.765
Se: 0.765 0.765 0.235
Se: 0.765 0.235 0.765
Se: 0.235 0.765 0.235

Material: SiNiTe2Pb
Method: DFT, PBE
State: relaxed

Results
Energy relative to the elements, uncorrected: 109.5 kJ/mol of atoms
Energy: -3.104 eV per atom

Lattice parameters (Å, degrees): 5.870 4.774 5.870 90.00 90.00 90.00
Last column: magnetic moment on the atom in μB.
Sites, in units of the cell vectors:
Pb: 0.000 0.000 0.000  0.00
Ni: 0.000 0.500 0.000  0.06
Si: 0.500 0.500 0.500  0.00
Te: 0.000 0.000 0.500  0.00
Te: 0.500 0.000 0.000  0.00

Material: TePtC3
Method: DFT, PBE
State: relaxed

Results
Energy relative to the elements, uncorrected: 229.0 kJ/mol of atoms
Energy: -4.998 eV per atom
E above lowest polymorph: 0.000 eV/f.u.

Lattice parameters (Å, degrees): 4.103 4.103 4.103 90.00 90.00 90.00
Last column: magnetic moment on the atom in μB.
Sites, in units of the cell vectors:
C: 0.000 0.500 0.000  0.31
C: 0.000 0.000 0.500  0.23
C: 0.500 0.000 0.000  0.17
Te: 0.500 0.500 0.500  -0.11
Pt: 0.000 0.000 0.000  0.01

Material: BeAl2Sb
Method: DFT, PBE
State: relaxed

Results
Energy relative to the elements, uncorrected: 42.4 kJ/mol of atoms
Energy: -3.394 eV per atom
E above lowest polymorph: 0.739 eV/f.u.

Lattice parameters (Å, degrees): 4.549 4.549 3.738 90.00 90.00 107.81
Sites, in units of the cell vectors:
Sb: 0.000 0.500 0.500
Al: 0.000 0.000 0.000
Al: 0.500 0.500 0.000
Be: 0.500 0.000 0.500

Material: Zn2CrPdCl
Method: DFT, PBE
State: relaxed

Results
Energy relative to the elements, uncorrected: 64.0 kJ/mol of atoms
Energy: -3.179 eV per atom

Lattice parameters (Å, degrees): 5.008 4.792 5.008 90.00 90.00 90.00
Last column: magnetic moment on the atom in μB.
Sites, in units of the cell vectors:
Cr: 0.000 0.000 0.000  3.50
Zn: 0.000 0.000 0.500  0.01
Zn: 0.500 0.000 0.000  0.05
Pd: 0.000 0.500 0.000  0.16
Cl: 0.500 0.500 0.500  0.04

Material: KInPb6
Method: DFT, PBE
State: relaxed

Results
Energy: -3.294 eV per atom
DFT formation energy: -0.0332 eV per atom

Lattice parameters (Å, degrees): 5.187 5.187 10.813 90.00 90.00 90.00
Sites, in units of the cell vectors:
K: 0.000 0.000 0.000
In: 0.000 0.000 0.500
Pb: 0.500 0.000 0.674
Pb: 0.000 0.500 0.674
Pb: 0.500 0.500 0.148
Pb: 0.500 0.500 0.852
Pb: 0.000 0.500 0.326
Pb: 0.500 0.000 0.326